# BaFeIO6

A relaxed structure of BaFeIO6 (PBE with a Hubbard U, the Alexandria database). Values from VASP.

Calculated values
- N(E_F) (states/eV/cell) = 0.0
- space-group type = No. 5
- total magnetization (μB/f.u.) = 1.00
- electronic total energy (eV per cell) = -49.50

Quantum ESPRESSO input file:
```
&SYSTEM
  ibrav = 0, nat = 9, ntyp = 4
/
ATOMIC_SPECIES
Ba 137.33 Ba.upf
Fe 55.84 Fe.upf
I 126.90 I.upf
O 16.00 O.upf
CELL_PARAMETERS angstrom
2.5862 -4.4820 0.0000
2.5862 4.4820 0.0000
-0.0152 0.0000 5.8686
ATOMIC_POSITIONS crystal
Ba 0.0000 0.0000 0.0000
Fe 0.6648 0.3352 0.5000
I 0.3334 0.6666 0.5000
O 0.0094 0.3898 0.3129
O 0.0088 0.6144 0.6886
O 0.3805 0.3863 0.6855
O 0.3856 0.9912 0.3114
O 0.6102 0.9906 0.6871
O 0.6137 0.6195 0.3145
```